*i*
PBE YHo2Sc4, relaxed; mass density = 5.0 g/cm3; symmetry = No. 65
1.0
10.588 0.000 0.000
0.000 11.051 0.000
0.000 0.000 3.365
Y Ho Sc
2 4 8
Direct
0.000 0.000 0.000
0.500 0.500 0.000
0.195 0.500 0.500
0.305 0.000 0.500
0.695 0.000 0.500
0.805 0.500 0.500
0.000 0.272 0.500
0.000 0.728 0.500
0.250 0.250 0.000
0.250 0.750 0.000
0.500 0.228 0.500
0.500 0.772 0.500
0.750 0.250 0.000
0.750 0.750 0.000

---

*ii*
PBE YHo2Sc4, relaxed; mass density = 5.2 g/cm3; symmetry = No. 1
1.0
6.359 0.000 0.000
1.733 7.848 0.000
2.686 3.092 7.709
Y Ho Sc
2 4 8
Direct
0.000 0.000 0.000
0.259 0.959 0.307
0.116 0.386 0.020
0.151 0.569 0.288
0.860 0.427 0.713
0.966 0.814 0.733
0.305 0.149 0.569
0.400 0.524 0.590
0.445 0.721 0.853
0.530 0.096 0.874
0.589 0.291 0.145
0.671 0.663 0.168
0.718 0.859 0.433
0.812 0.237 0.452

---

Most stable to least stable, the ends of the list are *ii* and *i*.

---

*i*
PBE YHoSc3, relaxed; mass density = 4.6 g/cm3; symmetry = No. 12
1.0
5.397 -3.535 0.000
5.397 3.535 0.000
-2.045 0.000 7.346
Y Ho Sc
2 2 6
Direct
0.111 0.111 0.222
0.889 0.889 0.778
0.349 0.349 0.999
0.651 0.651 0.001
0.071 0.654 0.338
0.346 0.929 0.662
0.398 0.398 0.618
0.602 0.602 0.382
0.654 0.071 0.338
0.929 0.346 0.662

---

*ii*
PBE YHoSc3, relaxed; mass density = 4.4 g/cm3; symmetry = No. 166
1.0
7.470 0.000 0.000
-3.735 6.470 0.000
0.000 0.000 9.128
Y Ho Sc
3 3 9
Direct
0.000 0.000 0.000
0.333 0.667 0.667
0.667 0.333 0.333
0.000 0.000 0.500
0.333 0.667 0.167
0.667 0.333 0.833
0.000 0.500 0.500
0.167 0.333 0.833
0.167 0.833 0.833
0.333 0.167 0.167
0.500 0.000 0.500
0.500 0.500 0.500
0.667 0.833 0.833
0.833 0.167 0.167
0.833 0.667 0.167

---

Most stable to least stable, the ends of the list are *i* and *ii*.

---

*i*
PBE Y3Ho4Sc, relaxed; mass density = 6.6 g/cm3; symmetry = No. 140
1.0
-4.408 4.408 6.263
4.408 -4.408 6.263
4.408 4.408 -6.263
Y Ho Sc
6 8 2
Direct
0.149 0.649 0.798
0.250 0.250 0.000
0.351 0.149 0.500
0.649 0.851 0.500
0.750 0.750 0.000
0.851 0.351 0.202
0.014 0.814 0.500
0.186 0.686 0.201
0.314 0.514 0.500
0.486 0.986 0.799
0.514 0.014 0.201
0.686 0.486 0.500
0.814 0.314 0.799
0.986 0.186 0.500
0.000 0.000 0.000
0.500 0.500 0.000

---

*ii*
PBE Y3Ho4Sc, relaxed; mass density = 6.5 g/cm3; symmetry = No. 31
1.0
11.119 0.000 0.000
0.000 7.181 0.000
0.000 0.000 6.208
Y Ho Sc
6 8 2
Direct
0.000 0.125 0.000
0.249 0.124 0.335
0.251 0.876 0.835
0.500 0.875 0.500
0.749 0.876 0.835
0.751 0.124 0.335
0.000 0.376 0.508
0.000 0.625 0.002
0.245 0.626 0.338
0.255 0.374 0.838
0.500 0.375 0.502
0.500 0.624 0.008
0.745 0.374 0.838
0.755 0.626 0.338
0.000 0.875 0.500
0.500 0.125 0.000

---

Most stable to least stable, the ends of the list are *ii* and *i*.

---

*i*
PBE Y7Ho4Sc, relaxed; mass density = 5.8 g/cm3; symmetry = No. 2
1.0
5.916 0.000 0.000
0.003 6.911 0.000
0.328 3.446 9.315
Y Ho Sc
7 4 1
Direct
0.000 0.000 0.000
0.235 0.716 0.570
0.254 0.188 0.627
0.254 0.539 0.920
0.746 0.461 0.080
0.746 0.812 0.373
0.765 0.284 0.430
0.264 0.596 0.269
0.265 0.135 0.269
0.735 0.865 0.731
0.736 0.404 0.731
0.500 0.000 0.000

---

*ii*
PBE Y7Ho4Sc, relaxed; mass density = 5.7 g/cm3; symmetry = No. 12
1.0
8.053 -2.899 0.000
8.053 2.899 0.000
-4.266 0.000 8.232
Y Ho Sc
7 4 1
Direct
0.000 0.000 0.000
0.288 0.288 0.128
0.297 0.297 0.780
0.425 0.425 0.573
0.575 0.575 0.427
0.703 0.703 0.220
0.712 0.712 0.872
0.076 0.076 0.699
0.175 0.175 0.392
0.825 0.825 0.608
0.924 0.924 0.301
0.500 0.500 0.000

---

Most stable to least stable, the ends of the list are *i* and *ii*.

---

*i*
PBE YHo12Sc7, relaxed; mass density = 6.7 g/cm3; symmetry = No. 148
1.0
7.311 4.221 3.167
-7.311 4.221 3.167
0.000 -8.442 3.167
Y Ho Sc
1 12 7
Direct
0.000 0.000 0.000
0.067 0.407 0.297
0.199 0.382 0.674
0.297 0.067 0.407
0.326 0.801 0.618
0.382 0.674 0.199
0.407 0.297 0.067
0.593 0.703 0.933
0.618 0.326 0.801
0.674 0.199 0.382
0.703 0.933 0.593
0.801 0.618 0.326
0.933 0.593 0.703
0.005 0.684 0.106
0.106 0.005 0.684
0.316 0.894 0.995
0.500 0.500 0.500
0.684 0.106 0.005
0.894 0.995 0.316
0.995 0.316 0.894

---

*ii*
PBE YHo12Sc7, relaxed; mass density = 6.1 g/cm3; symmetry = No. 204
1.0
-5.455 5.455 5.455
5.455 -5.455 5.455
5.455 5.455 -5.455
Y Ho Sc
1 12 7
Direct
0.000 0.000 0.000
0.001 0.740 0.261
0.260 0.261 0.521
0.260 0.739 0.999
0.261 0.001 0.740
0.261 0.521 0.260
0.479 0.740 0.739
0.521 0.260 0.261
0.739 0.479 0.740
0.739 0.999 0.260
0.740 0.261 0.001
0.740 0.739 0.479
0.999 0.260 0.739
0.000 0.000 0.500
0.000 0.500 0.000
0.000 0.500 0.500
0.500 0.000 0.000
0.500 0.000 0.500
0.500 0.500 0.000
0.500 0.500 0.500

---

Most stable to least stable, the ends of the list are *i* and *ii*.

---

*i*
PBE Y3Ho3Sc, relaxed; mass density = 6.2 g/cm3; symmetry = No. 176
1.0
9.469 0.000 0.000
-4.734 8.200 0.000
0.000 0.000 5.575
Y Ho Sc
6 6 2
Direct
0.097 0.477 0.250
0.380 0.903 0.250
0.477 0.380 0.750
0.523 0.620 0.250
0.620 0.097 0.750
0.903 0.523 0.750
0.051 0.240 0.750
0.189 0.949 0.750
0.240 0.189 0.250
0.760 0.811 0.750
0.811 0.051 0.250
0.949 0.760 0.250
0.333 0.667 0.750
0.667 0.333 0.250

---

*ii*
PBE Y3Ho3Sc, relaxed; mass density = 6.0 g/cm3; symmetry = No. 148
1.0
3.071 1.773 13.757
-3.071 1.773 13.757
0.000 -3.547 13.757
Y Ho Sc
6 6 2
Direct
0.102 0.437 0.771
0.229 0.898 0.563
0.437 0.771 0.102
0.563 0.229 0.898
0.771 0.102 0.437
0.898 0.563 0.229
0.036 0.699 0.367
0.301 0.633 0.964
0.367 0.036 0.699
0.633 0.964 0.301
0.699 0.367 0.036
0.964 0.301 0.633
0.167 0.167 0.167
0.833 0.833 0.833

---

Most stable to least stable, the ends of the list are *i* and *ii*.

---

*i*
PBE YHo3Sc6, relaxed; mass density = 5.2 g/cm3; symmetry = No. 36
1.0
5.239 -8.972 0.000
5.239 8.972 0.000
0.000 0.000 5.847
Y Ho Sc
2 6 12
Direct
0.210 0.790 0.500
0.790 0.210 0.000
0.071 0.281 0.690
0.281 0.071 0.190
0.396 0.604 0.597
0.604 0.396 0.097
0.719 0.929 0.690
0.929 0.719 0.190
0.029 0.459 0.299
0.047 0.953 0.730
0.280 0.385 0.140
0.289 0.711 0.023
0.385 0.280 0.640
0.459 0.029 0.799
0.541 0.971 0.299
0.615 0.720 0.140
0.711 0.289 0.523
0.720 0.615 0.640
0.953 0.047 0.230
0.971 0.541 0.799

---

*ii*
PBE YHo3Sc6, relaxed; mass density = 5.1 g/cm3; symmetry = No. 146
1.0
4.623 2.669 3.764
-4.623 2.669 3.764
0.000 -5.338 3.764
Y Ho Sc
1 3 6
Direct
0.000 0.000 0.000
0.255 0.255 0.255
0.500 0.500 0.500
0.754 0.754 0.754
0.104 0.775 0.437
0.275 0.600 0.934
0.437 0.104 0.775
0.600 0.934 0.275
0.775 0.437 0.104
0.934 0.275 0.600

---

Most stable to least stable, the ends of the list are *i* and *ii*.

---

*i*
PBE Y3Ho2Sc2, relaxed; mass density = 5.5 g/cm3; symmetry = No. 65
1.0
5.215 0.000 0.000
0.000 23.204 0.000
0.000 0.000 3.432
Y Ho Sc
6 4 4
Direct
0.000 0.000 0.000
0.000 0.424 0.500
0.000 0.576 0.500
0.500 0.076 0.500
0.500 0.500 0.000
0.500 0.924 0.500
0.000 0.285 0.500
0.000 0.715 0.500
0.500 0.215 0.500
0.500 0.785 0.500
0.000 0.152 0.000
0.000 0.848 0.000
0.500 0.348 0.000
0.500 0.652 0.000

---

*ii*
PBE Y3Ho2Sc2, relaxed; mass density = 5.4 g/cm3; symmetry = No. 12
1.0
16.911 0.000 0.000
0.000 3.406 0.000
-4.083 0.000 7.313
Y Ho Sc
6 4 4
Direct
0.000 0.000 0.000
0.212 0.000 0.303
0.288 0.500 0.697
0.500 0.500 0.000
0.712 0.500 0.303
0.788 0.000 0.697
0.141 0.000 0.813
0.359 0.500 0.187
0.641 0.500 0.813
0.859 0.000 0.187
0.064 0.500 0.411
0.436 0.000 0.589
0.564 0.000 0.411
0.936 0.500 0.589

---

Most stable to least stable, the ends of the list are *i* and *ii*.